(1)
The following is a GGA-PBE calculation of a geometry-optimized LiCrFe structure, from Alexandria.

```
LiCrFe
1.0
2.5039 0.0000 0.0000
-1.2519 2.1684 0.0000
0.0000 0.0000 6.5274
Li Cr Fe
1 1 1
Cartesian
0.0000 1.4456 6.1842 Li
0.0000 0.0000 2.0548 Cr
1.2519 0.7228 3.9461 Fe
```

Properties
energy above the most stable polymorph in this dataset	171	meV/atom
theoretical density	5378	kg/m³
space group	No. 156

=====

(2)
The following is a GGA-PBE calculation of a geometry-optimized TaIn3Co structure, from Alexandria.

```
TaIn3Co
1.0
-2.0836 4.1573 -2.6611
2.2609 -1.7638 -4.5258
-4.3878 -2.8830 -1.0684
In Co Ta
3 1 1
Cartesian
1.1305 -0.8819 -2.2629 In
-2.1939 -1.4415 -0.5342 In
-1.0418 2.0787 -1.3306 In
-2.1052 -0.2448 -4.1277 Co
0.0000 0.0000 0.0000 Ta
```

Properties
energy above the most stable polymorph in this dataset	465	meV/atom
theoretical density	6309	kg/m³
space group	No. 221

=====

(3)
The following is a GGA-PBE calculation of a geometry-optimized ZnAg2Te structure, from Alexandria.

```
ZnAg2Te
1.0
4.4740 -0.3322 -0.2293
2.4988 3.7260 -0.2293
0.2970 0.1446 5.6278
Ag Te Zn
2 1 1
Cartesian
1.4048 0.6838 4.1653 Ag
1.2602 0.6134 1.3082 Ag
3.7284 1.8147 2.5766 Te
4.5113 2.1957 -0.2961 Zn
```

Properties
energy above the most stable polymorph in this dataset	12	meV/atom
theoretical density	6868	kg/m³
space group	No. 38
formation energy without anion corrections	0.16	eV per formula unit

=====

Please write out number 1 again, unchanged.
The following is a GGA-PBE calculation of a geometry-optimized LiCrFe structure, from Alexandria.

```
LiCrFe
1.0
2.5039 0.0000 0.0000
-1.2519 2.1684 0.0000
0.0000 0.0000 6.5274
Li Cr Fe
1 1 1
Cartesian
0.0000 1.4456 6.1842 Li
0.0000 0.0000 2.0548 Cr
1.2519 0.7228 3.9461 Fe
```

Properties
energy above the most stable polymorph in this dataset	171	meV/atom
theoretical density	5378	kg/m³
space group	No. 156

=====

> What is the theoretical density in the first record?

5378 kg/m³

=====

> energy above the most stable polymorph in this dataset of number 2 (TaIn3Co)?

465 meV/atom